No. 1
# LiTiNbO4

An optimized crystal structure of LiTiNbO4 (PBE-GGA, Alexandria).

Summary:
E above lowest polymorph = 69.1 meV per atom
raw total energy = -56.9 eV per formula unit
size of the total moment = 0.97 μB per formula unit
energy relative to the elements, uncorrected = -2455 meV per atom

a b c (Å): 6.0294 9.1181 5.9790
angles (deg): 90.00 90.00 90.00
Space group Cmcm (No. 63)
Symmetry-distinct sites (fractional):
Li  0.0000  0.1527  0.2500 [4 per cell]
Ti  0.0000  0.1519  0.7500 [4 per cell]
Nb  0.0000  0.5000  0.0000 [4 per cell]
O  0.0000  0.2727  0.5086 [8 per cell]
O  0.2349  0.0117  0.7500 [8 per cell]



No. 2
# Li2Ti3NbO8

An optimized crystal structure of Li2Ti3NbO8 (PBE-GGA, Alexandria).

Summary:
E above lowest polymorph = 0.0 meV per atom
raw total energy = -114.9 eV per formula unit
size of the total moment = 0.00 μB per formula unit
energy relative to the elements, uncorrected = -2686 meV per atom

a b c (Å): 8.5564 8.5564 8.5564
angles (deg): 90.00 90.00 90.00
Space group P4_332 (No. 212)
Symmetry-distinct sites (fractional):
Li  0.0031  0.4969  0.5031 [8 per cell]
Ti  0.1240  0.1260  0.6250 [12 per cell]
Nb  0.1250  0.8750  0.3750 [4 per cell]
O  0.1101  0.1189  0.3881 [24 per cell]
O  0.1111  0.6111  0.8889 [8 per cell]



No. 3
# Li2Ti3NbO8

An optimized crystal structure of Li2Ti3NbO8 (PBE-GGA, Alexandria).

Summary:
E above lowest polymorph = 24.2 meV per atom
raw total energy = -114.5 eV per formula unit
size of the total moment = 1.26 μB per formula unit
energy relative to the elements, uncorrected = -2662 meV per atom

a b c (Å): 5.9660 5.9660 9.8273
angles (deg): 90.00 90.00 120.00
Space group P6_3mc (No. 186)
Symmetry-distinct sites (fractional):
Li  0.0000  0.0000  0.0000 [2 per cell]
Li  0.3333  0.6667  0.4084 [2 per cell]
Ti  0.1698  0.3396  0.7226 [6 per cell]
Nb  0.3333  0.6667  0.9926 [2 per cell]
O  0.0000  0.0000  0.3168 [2 per cell]
O  0.0334  0.5167  0.8438 [6 per cell]
O  0.1638  0.3276  0.1033 [6 per cell]
O  0.3333  0.6667  0.6130 [2 per cell]



No. 4
# Li2Ti3NbO8

An optimized crystal structure of Li2Ti3NbO8 (PBE-GGA, Alexandria).

Summary:
E above lowest polymorph = 0.8 meV per atom
raw total energy = -114.8 eV per formula unit
size of the total moment = 0.00 μB per formula unit
energy relative to the elements, uncorrected = -2685 meV per atom

a b c (Å): 6.0433 6.0433 14.8601
angles (deg): 90.00 90.00 120.00
Space group R-3m (No. 166, hexagonal axes)
Symmetry-distinct sites (fractional):
Li  0.0000  0.0000  0.1247 [6 per cell]
Ti  0.0000  0.5000  0.0000 [9 per cell]
Nb  0.0000  0.0000  0.5000 [3 per cell]
O  0.0000  0.0000  0.2640 [6 per cell]
O  0.0273  0.5136  0.2565 [18 per cell]



No. 5
# LiTiNbO4

An optimized crystal structure of LiTiNbO4 (PBE-GGA, Alexandria).

Summary:
E above lowest polymorph = 0.0 meV per atom
raw total energy = -57.4 eV per formula unit
size of the total moment = 0.01 μB per formula unit
energy relative to the elements, uncorrected = -2524 meV per atom

a b c (Å): 5.9755 6.1326 8.7064
angles (deg): 90.00 90.00 90.00
Space group Imma (No. 74)
Symmetry-distinct sites (fractional):
Li  0.0000  0.2500  0.1286 [4 per cell]
Ti  0.0000  0.0000  0.5000 [4 per cell]
Nb  0.2500  0.2500  0.7500 [4 per cell]
O  0.0000  0.0067  0.7337 [8 per cell]
O  0.2246  0.2500  0.5102 [8 per cell]